Record 1
{
  "formula": "Pm2Ga4Ni3Ag",
  "functional": "PBE",
  "state": "relaxed",
  "formation_energy_mev_per_atom": -506.7,
  "vol_a3_per_atom": 17.9,
  "lattice": [[4.1393, 0.0000, 0.0000], [0.0000, 4.1393, 0.0000], [0.0000, 0.0000, 10.4292]],
  "species": ["Pm", "Pm", "Ga", "Ga", "Ga", "Ga", "Ni", "Ni", "Ni", "Ag"],
  "frac_coords": [[0.5000, 0.0000, 0.2351], [0.0000, 0.5000, 0.7649], [0.5000, 0.5000, 0.0000], [0.0000, 0.0000, 0.0000], [0.5000, 0.0000, 0.6449], [0.0000, 0.5000, 0.3551], [0.0000, 0.0000, 0.5000], [0.5000, 0.0000, 0.8733], [0.0000, 0.5000, 0.1267], [0.5000, 0.5000, 0.5000]]
}

Record 2
{
  "formula": "Pr2Sn3Hg",
  "functional": "PBE",
  "state": "relaxed",
  "formation_energy_mev_per_atom": -474.7,
  "vol_a3_per_atom": 28.5,
  "lattice": [[4.0966, 0.0000, 0.0000], [0.0000, 4.8908, 0.0000], [0.0000, 0.0000, 8.5436]],
  "species": ["Pr", "Pr", "Sn", "Sn", "Sn", "Hg"],
  "frac_coords": [[0.0000, 0.5000, 0.9910], [0.0000, 0.0000, 0.5111], [0.5000, 0.0000, 0.8358], [0.5000, 0.0000, 0.1722], [0.5000, 0.5000, 0.6595], [0.5000, 0.5000, 0.3303]]
}

Record 3
{
  "formula": "Rb2Sm2MnS6",
  "functional": "PBE",
  "state": "relaxed",
  "vol_a3_per_atom": 28.5,
  "raw_formation_energy_ev_per_atom": -1.39,
  "lattice": [[-1.3964, 3.0312, -5.8795], [-2.7065, -6.0600, 1.2875], [-4.7941, 4.5215, 4.8592]],
  "species": ["Rb", "Rb", "Sm", "Sm", "Mn", "S", "S", "S", "S", "S", "S"],
  "frac_coords": [[0.8273, 0.1727, 0.0000], [0.1727, 0.8273, 0.0000], [0.3329, 0.6671, 0.5000], [0.6671, 0.3329, 0.5000], [0.0000, 0.0000, 0.5000], [0.7740, 0.7740, 0.6789], [0.0648, 0.3581, 0.6821], [0.2260, 0.2260, 0.3211], [0.3581, 0.0648, 0.6821], [0.9352, 0.6419, 0.3179], [0.6419, 0.9352, 0.3179]]
}

Record 4
{
  "formula": "Hf2GeP2",
  "functional": "PBE",
  "state": "relaxed",
  "formation_energy_mev_per_atom": -730.1,
  "vol_a3_per_atom": 17.9,
  "e_above_lowest_polymorph_ev_per_atom": 0.0000,
  "lattice": [[7.2321, 0.0000, 0.0000], [0.0000, 7.2321, 0.0000], [0.0000, 0.0000, 3.4201]],
  "species": ["P", "P", "P", "P", "Ge", "Ge", "Hf", "Hf", "Hf", "Hf"],
  "frac_coords": [[0.1378, 0.6378, 0.5000], [0.6378, 0.8622, 0.5000], [0.8622, 0.3622, 0.5000], [0.3622, 0.1378, 0.5000], [0.0000, 0.0000, 0.0000], [0.5000, 0.5000, 0.0000], [0.3425, 0.8425, 0.0000], [0.8425, 0.6575, 0.0000], [0.6575, 0.1575, 0.0000], [0.1575, 0.3425, 0.0000]]
}

Record 5
{
  "formula": "ReAsPb",
  "functional": "PBE",
  "state": "relaxed",
  "formation_energy_mev_per_atom": 843.6,
  "vol_a3_per_atom": 21.9,
  "e_above_lowest_polymorph_ev_per_atom": 0.5106,
  "lattice": [[-1.8404, 3.7810, 1.6898], [-2.8557, 2.4534, -2.5227], [-4.4122, 0.1084, 1.0293]],
  "species": ["Pb", "Re", "As"],
  "frac_coords": [[0.5000, 0.5000, 0.5000], [0.2500, 0.2500, 0.2500], [0.0000, 0.0000, 0.0000]]
}

Record 6
{
  "formula": "Ti3CdN",
  "functional": "PBE",
  "state": "relaxed",
  "vol_a3_per_atom": 15.0,
  "raw_formation_energy_ev_per_atom": -0.77,
  "lattice": [[-1.0296, -2.7718, -2.9854], [6.9209, -2.2359, -6.2211], [1.2106, -3.1006, 2.4611]],
  "species": ["Cd", "Cd", "Ti", "Ti", "Ti", "Ti", "Ti", "Ti", "N", "N"],
  "frac_coords": [[0.3353, 0.6720, 0.2264], [0.5776, 0.9297, 0.2264], [0.5940, 0.4134, 0.7265], [0.3189, 0.1884, 0.7265], [0.0839, 0.4233, 0.2265], [0.8291, 0.1784, 0.2265], [0.8333, 0.6738, 0.7264], [0.0797, 0.9279, 0.7264], [0.0721, 0.4353, 0.7265], [0.8408, 0.1664, 0.7265]]
}